Record 1
{"formula": "AcAu2", "functional": "PBE", "state": "optimized geometry", "dos_at_fermi_per_ev_atom": 0.563, "formation_energy_ev_per_atom": -0.754, "final_energy_ev_per_atom": -4.3088, "crystal_system": "monoclinic", "magmom_total_mub_per_fu": 0.00, "lattice_angstrom": [[3.012, -2.906, 0.000], [3.012, 2.906, 0.000], [-2.239, 0.000, 4.653]], "species": ["Ac", "Au", "Au"], "fractional_positions": [[0.000, 0.000, 0.000], [0.378, 0.378, 0.683], [0.622, 0.622, 0.317]]}

***

Record 2
{"formula": "AcAu13", "functional": "PBE", "state": "optimized geometry", "dos_at_fermi_per_ev_atom": 0.245, "formation_energy_ev_per_atom": -0.168, "final_energy_ev_per_atom": -3.5052, "crystal_system": "cubic", "magmom_total_mub_per_fu": 0.00, "lattice_angstrom": [[0.000, 6.615, 6.615], [6.615, 0.000, 6.615], [6.615, 6.615, 0.000]], "species": ["Ac", "Ac", "Au", "Au", "Au", "Au", "Au", "Au", "Au", "Au", "Au", "Au", "Au", "Au", "Au", "Au", "Au", "Au", "Au", "Au", "Au", "Au", "Au", "Au", "Au", "Au", "Au", "Au"], "fractional_positions": [[0.250, 0.250, 0.250], [0.750, 0.750, 0.750], [0.000, 0.000, 0.000], [0.062, 0.301, 0.699], [0.062, 0.699, 0.938], [0.062, 0.938, 0.301], [0.199, 0.438, 0.801], [0.199, 0.562, 0.438], [0.199, 0.801, 0.562], [0.301, 0.062, 0.938], [0.301, 0.699, 0.062], [0.301, 0.938, 0.699], [0.438, 0.199, 0.562], [0.438, 0.562, 0.801], [0.438, 0.801, 0.199], [0.500, 0.500, 0.500], [0.562, 0.199, 0.801], [0.562, 0.438, 0.199], [0.562, 0.801, 0.438], [0.699, 0.062, 0.301], [0.699, 0.301, 0.938], [0.699, 0.938, 0.062], [0.801, 0.199, 0.438], [0.801, 0.438, 0.562], [0.801, 0.562, 0.199], [0.938, 0.062, 0.699], [0.938, 0.301, 0.062], [0.938, 0.699, 0.301]]}

***

Record 3
{"formula": "Ac3Au", "functional": "PBE", "state": "optimized geometry", "dos_at_fermi_per_ev_atom": 1.326, "formation_energy_ev_per_atom": -0.101, "final_energy_ev_per_atom": -4.0013, "crystal_system": "cubic", "magmom_total_mub_per_fu": 0.00, "lattice_angstrom": [[5.242, 0.000, 0.000], [0.000, 5.242, 0.000], [0.000, 0.000, 5.242]], "species": ["Ac", "Ac", "Ac", "Au"], "fractional_positions": [[0.000, 0.000, 0.500], [0.000, 0.500, 0.000], [0.500, 0.000, 0.000], [0.500, 0.500, 0.500]]}

***

Record 4
{"formula": "Ac3Au11", "functional": "PBE", "state": "optimized geometry", "dos_at_fermi_per_ev_atom": 0.397, "formation_energy_ev_per_atom": -0.622, "final_energy_ev_per_atom": -4.0777, "crystal_system": "orthorhombic", "magmom_total_mub_per_fu": 0.00, "lattice_angstrom": [[-2.361, 4.964, 7.022], [2.361, -4.964, 7.022], [2.361, 4.964, -7.022]], "species": ["Ac", "Ac", "Ac", "Au", "Au", "Au", "Au", "Au", "Au", "Au", "Au", "Au", "Au", "Au"], "fractional_positions": [[0.000, 0.000, 0.000], [0.309, 0.309, 0.000], [0.691, 0.691, 0.000], [0.034, 0.672, 0.362], [0.153, 0.873, 0.281], [0.289, 0.500, 0.789], [0.311, 0.672, 0.638], [0.408, 0.127, 0.281], [0.500, 0.000, 0.500], [0.592, 0.873, 0.719], [0.689, 0.328, 0.362], [0.711, 0.500, 0.211], [0.847, 0.127, 0.719], [0.966, 0.328, 0.638]]}

***

Record 5
{"formula": "Ac7Au3", "functional": "PBE", "state": "optimized geometry", "dos_at_fermi_per_ev_atom": 1.205, "formation_energy_ev_per_atom": -0.506, "final_energy_ev_per_atom": -4.3651, "crystal_system": "hexagonal", "magmom_total_mub_per_fu": 0.00, "lattice_angstrom": [[11.036, 0.000, 0.000], [-5.518, 9.558, 0.000], [0.000, 0.000, 7.006]], "species": ["Ac", "Ac", "Ac", "Ac", "Ac", "Ac", "Ac", "Ac", "Ac", "Ac", "Ac", "Ac", "Ac", "Ac", "Au", "Au", "Au", "Au", "Au", "Au"], "fractional_positions": [[0.080, 0.540, 0.000], [0.127, 0.254, 0.309], [0.127, 0.873, 0.309], [0.254, 0.127, 0.809], [0.333, 0.667, 0.489], [0.460, 0.540, 0.000], [0.460, 0.920, 0.000], [0.540, 0.080, 0.500], [0.540, 0.460, 0.500], [0.667, 0.333, 0.989], [0.746, 0.873, 0.309], [0.873, 0.127, 0.809], [0.873, 0.746, 0.809], [0.920, 0.460, 0.500], [0.189, 0.379, 0.733], [0.189, 0.811, 0.733], [0.379, 0.189, 0.233], [0.621, 0.811, 0.733], [0.811, 0.189, 0.233], [0.811, 0.621, 0.233]]}

***

Record 6
{"formula": "AcAu5", "functional": "PBE", "state": "optimized geometry", "dos_at_fermi_per_ev_atom": 0.483, "formation_energy_ev_per_atom": -0.358, "final_energy_ev_per_atom": -3.7744, "crystal_system": "orthorhombic", "magmom_total_mub_per_fu": 0.00, "lattice_angstrom": [[2.757, -5.017, 0.000], [2.757, 5.017, 0.000], [0.000, 0.000, 4.950]], "species": ["Ac", "Au", "Au", "Au", "Au", "Au"], "fractional_positions": [[0.000, 0.000, 0.000], [0.214, 0.786, 0.500], [0.342, 0.658, 0.000], [0.500, 0.500, 0.500], [0.658, 0.342, 0.000], [0.786, 0.214, 0.500]]}

***

Record 7
{"formula": "Ac2BPd4Au2", "functional": "PBE", "state": "optimized geometry", "dos_at_fermi_per_ev_atom": 0.228, "formation_energy_ev_per_atom": -0.555, "final_energy_ev_per_atom": -5.2457, "crystal_system": "tetragonal", "magmom_total_mub_per_fu": 0.00, "lattice_angstrom": [[-3.190, 3.190, 4.430], [3.190, -3.190, 4.430], [3.190, 3.190, -4.430]], "species": ["Ac", "Ac", "B", "Pd", "Pd", "Pd", "Pd", "Au", "Au"], "fractional_positions": [[0.250, 0.750, 0.500], [0.750, 0.250, 0.500], [0.000, 0.000, 0.000], [0.245, 0.245, 0.490], [0.245, 0.755, 0.000], [0.755, 0.245, 0.000], [0.755, 0.755, 0.510], [0.270, 0.270, 0.000], [0.730, 0.730, 0.000]]}

***

Record 8
{"formula": "Ac4B3Pt12Au", "functional": "PBE", "state": "optimized geometry", "dos_at_fermi_per_ev_atom": 0.628, "formation_energy_ev_per_atom": -0.639, "final_energy_ev_per_atom": -6.2509, "crystal_system": "cubic", "magmom_total_mub_per_fu": 0.00, "lattice_angstrom": [[-4.623, 4.623, 4.623], [4.623, -4.623, 4.623], [4.623, 4.623, -4.623]], "species": ["Ac", "Ac", "Ac", "Ac", "B", "B", "B", "Pt", "Pt", "Pt", "Pt", "Pt", "Pt", "Pt", "Pt", "Pt", "Pt", "Pt", "Pt", "Au"], "fractional_positions": [[0.000, 0.000, 0.500], [0.000, 0.500, 0.000], [0.500, 0.000, 0.000], [0.500, 0.500, 0.500], [0.000, 0.500, 0.500], [0.500, 0.000, 0.500], [0.500, 0.500, 0.000], [0.000, 0.286, 0.286], [0.000, 0.714, 0.714], [0.250, 0.500, 0.750], [0.250, 0.750, 0.500], [0.286, 0.000, 0.286], [0.286, 0.286, 0.000], [0.500, 0.250, 0.750], [0.500, 0.750, 0.250], [0.714, 0.000, 0.714], [0.714, 0.714, 0.000], [0.750, 0.250, 0.500], [0.750, 0.500, 0.250], [0.000, 0.000, 0.000]]}